Density functional theory data (PBE with a Hubbard U) for VCo2IrF after structural relaxation.

Unit cell a=4.663 b=4.453 c=4.663 alpha=90.00 beta=90.00 gamma=90.00
Last column: magnetic moment on the atom in μB.
Fractional coordinates of all 5 atoms:
F 0.500 0.500 0.500  0.02
Ir 0.000 0.500 0.000  0.04
Co 0.000 0.000 0.500  2.03
Co 0.500 0.000 0.000  1.97
V 0.000 0.000 0.000  -1.77

Calculated values
DOS at the Fermi energy = 3.10 states/eV/cell
Total DFT energy (no corrections) = -4.167 eV/atom
SG = P4/mmm, No. 123